SiTc2Ir: single point on PBEsol structure, SCAN.

a b c (Å): 2.724 2.724 8.587
angles (deg): 80.87 80.87 60.00
Element x y z (fractional)
Ir1 0.000 0.000 0.000
Si1 0.500 0.500 0.500
Tc1 0.247 0.247 0.260
Tc2 0.753 0.753 0.740

Summary:
Crystal system = trigonal
Raw formation energy = -184 meV/atom

=====

OsWAu4: single point on PBEsol structure, SCAN.

a b c (Å): 5.221 5.221 5.221
angles (deg): 60.00 60.00 60.00
Element x y z (fractional)
Au1 0.375 0.375 0.375
Au2 0.375 0.375 0.875
Au3 0.875 0.375 0.375
Au4 0.375 0.875 0.375
Os1 0.750 0.750 0.750
W1 0.000 0.000 0.000

Summary:
Raw total energy = -411.73 eV/cell
Crystal system = cubic

=====

LiSiTe2: single point on PBEsol structure, SCAN.

a b c (Å): 3.864 5.418 5.418
angles (deg): 65.79 69.11 69.11
Element x y z (fractional)
Si1 0.000 0.500 0.500
Te1 0.267 0.733 0.733
Te2 0.733 0.267 0.267
Li1 0.500 0.000 0.000

Summary:
Relative energy among the computed polymorphs = 0.380 eV per atom
Crystal system = orthorhombic
Raw formation energy = 87 meV/atom

=====

La2CrHgF: single point on PBEsol structure, SCAN.

a b c (Å): 4.632 5.897 5.897
angles (deg): 90.00 90.00 90.00
Each line ends with the local moment (μB).
Element x y z (fractional)
Cr1 0.500 0.500 0.500  4.24
F1 0.500 0.000 0.000  0.04
Hg1 0.000 0.000 0.000  0.03
La1 0.000 0.000 0.500  0.24
La2 0.000 0.500 0.000  0.24

Summary:
Crystal system = tetragonal
Raw formation energy = -7 meV/atom

=====

Cu5Au: single point on PBEsol structure, SCAN.

a b c (Å): 2.639 4.968 6.118
angles (deg): 105.65 90.00 105.40
Element x y z (fractional)
Au1 0.005 0.010 0.008
Cu1 0.380 0.760 0.281
Cu2 0.673 0.347 0.352
Cu3 0.053 0.106 0.600
Cu4 0.332 0.665 0.662
Cu5 0.723 0.447 0.931

Summary:
Relative energy among the computed polymorphs = 0.043 eV per atom
Crystal system = monoclinic

=====

NaTaPtRh2: single point on PBEsol structure, SCAN.

a b c (Å): 4.282 4.282 4.505
angles (deg): 90.00 90.00 90.00
Element x y z (fractional)
Na1 0.000 0.000 0.000
Rh1 0.000 0.500 0.000
Rh2 0.500 0.000 0.000
Pt1 0.500 0.500 0.500
Ta1 0.000 0.000 0.500

Summary:
Raw total energy = -199.52 eV/cell
Crystal system = tetragonal

=====

Sc2AsH2: single point on PBEsol structure, SCAN.

a b c (Å): 3.408 3.408 5.845
angles (deg): 106.95 106.95 90.00
Each line ends with the local moment (μB).
Element x y z (fractional)
Sc1 0.361 0.361 0.721  0.27
Sc2 0.639 0.639 0.279  0.27
H1 0.250 0.750 0.500  0.00
H2 0.750 0.250 0.500  0.00
As1 0.000 0.000 0.000  -0.02

Summary:
Raw total energy = -60.28 eV/cell
Crystal system = tetragonal

=====

ZnSbPCl2: single point on PBEsol structure, SCAN.

a b c (Å): 4.564 4.564 5.019
angles (deg): 90.00 90.00 90.00
Element x y z (fractional)
Sb1 0.500 0.500 0.500
Zn1 0.000 0.000 0.000
P1 0.000 0.000 0.500
Cl1 0.000 0.500 0.000
Cl2 0.500 0.000 0.000

Summary:
Relative energy among the computed polymorphs = 0.000 eV per atom
Crystal system = tetragonal
Raw formation energy = 32 meV/atom

=====

RbTlSi3: single point on PBEsol structure, SCAN.

a b c (Å): 5.353 5.353 5.353
angles (deg): 90.00 90.00 90.00
Element x y z (fractional)
Tl1 0.000 0.000 0.000
Si1 0.000 0.500 0.000
Si2 0.000 0.000 0.500
Si3 0.500 0.000 0.000
Rb1 0.500 0.500 0.500

Summary:
Crystal system = cubic
Raw formation energy = 1193 meV/atom

=====

MgNi4S8: single point on PBEsol structure, SCAN.

a b c (Å): 6.639 6.639 6.970
angles (deg): 61.56 61.56 60.00
Element x y z (fractional)
Mg1 0.500 0.500 0.500
Ni1 0.500 0.000 0.000
Ni2 0.500 0.500 0.000
Ni3 0.000 0.500 0.000
Ni4 0.000 0.000 0.000
S1 0.237 0.728 0.797
S2 0.272 0.763 0.203
S3 0.763 0.272 0.203
S4 0.763 0.763 0.203
S5 0.734 0.734 0.798
S6 0.266 0.266 0.202
S7 0.237 0.237 0.797
S8 0.728 0.237 0.797

Summary:
Crystal system = trigonal
Raw formation energy = -492 meV/atom

=====

Hf3CdOs: single point on PBEsol structure, SCAN.

a b c (Å): 4.943 4.943 4.943
angles (deg): 90.00 90.00 90.00
Element x y z (fractional)
Hf1 0.000 0.500 0.000
Hf2 0.000 0.000 0.500
Hf3 0.500 0.000 0.000
Os1 0.500 0.500 0.500
Cd1 0.000 0.000 0.000

Summary:
Raw total energy = -281.17 eV/cell
Crystal system = cubic

=====

BeSb2As: single point on PBEsol structure, SCAN.

a b c (Å): 3.857 5.155 5.155
angles (deg): 66.08 68.03 68.03
Element x y z (fractional)
Sb1 0.287 0.713 0.713
Sb2 0.713 0.287 0.287
As1 0.500 0.000 0.000
Be1 0.000 0.500 0.500

Summary:
Relative energy among the computed polymorphs = 0.408 eV per atom
Crystal system = orthorhombic
Raw formation energy = 540 meV/atom

=====

Ho3Er: single point on PBEsol structure, SCAN.

a b c (Å): 5.478 7.029 7.029
angles (deg): 119.99 90.00 90.00
Element x y z (fractional)
Ho1 0.250 0.666 0.833
Ho2 0.250 0.167 0.334
Ho3 0.250 0.167 0.833
Ho4 0.750 0.334 0.167
Ho5 0.750 0.833 0.666
Ho6 0.750 0.833 0.167
Er1 0.750 0.333 0.667
Er2 0.250 0.667 0.333

Summary:
Relative energy among the computed polymorphs = 0.000 eV per atom
Crystal system = hexagonal

=====

Mg2TlAu2: single point on PBEsol structure, SCAN.

a b c (Å): 3.856 3.856 7.690
angles (deg): 104.52 104.52 90.00
Element x y z (fractional)
Tl1 0.000 0.000 0.000
Au1 0.250 0.750 0.500
Au2 0.750 0.250 0.500
Mg1 0.388 0.388 0.776
Mg2 0.612 0.612 0.224

Summary:
Raw total energy = -222.31 eV/cell
Crystal system = tetragonal

=====

Hg2PbSe: single point on PBEsol structure, SCAN.

a b c (Å): 4.092 4.092 7.726
angles (deg): 74.64 74.64 60.00
Element x y z (fractional)
Pb1 0.506 0.506 0.481
Hg1 0.999 0.999 0.003
Hg2 0.745 0.745 0.766
Se1 0.250 0.250 0.250

Summary:
Crystal system = trigonal
Raw formation energy = -165 meV/atom

=====

TiS2NF: single point on PBEsol structure, SCAN.

a b c (Å): 3.685 4.220 4.220
angles (deg): 90.00 90.00 90.00
Each line ends with the local moment (μB).
Element x y z (fractional)
N1 0.500 0.000 0.000  0.79
S1 0.000 0.000 0.500  0.04
S2 0.000 0.500 0.000  0.04
F1 0.000 0.000 0.000  -0.04
Ti1 0.500 0.500 0.500  -1.14

Summary:
Crystal system = tetragonal
Raw formation energy = 900 meV/atom

=====

Zr6MnCl14: single point on PBEsol structure, SCAN.

a b c (Å): 9.623 9.623 11.730
angles (deg): 90.00 90.00 97.76
Each line ends with the local moment (μB).
Element x y z (fractional)
Zr1 0.199 0.954 0.879  -0.10
Zr2 0.801 0.046 0.121  -0.10
Zr3 0.301 0.546 0.379  -0.10
Zr4 0.454 0.699 0.621  -0.10
Zr5 0.699 0.454 0.621  -0.10
Zr6 0.546 0.301 0.379  -0.10
Zr7 0.046 0.801 0.121  -0.10
Zr8 0.954 0.199 0.879  -0.10
Zr9 0.350 0.350 0.612  -0.10
Zr10 0.650 0.650 0.388  -0.10
Zr11 0.150 0.150 0.112  -0.10
Zr12 0.850 0.850 0.888  -0.10
Mn1 0.000 0.000 0.000  0.04
Mn2 0.500 0.500 0.500  0.04
Cl1 0.539 0.294 0.749  0.00
Cl2 0.461 0.706 0.251  0.00
Cl3 0.961 0.206 0.249  0.00
Cl4 0.794 0.039 0.751  0.00
Cl5 0.039 0.794 0.751  0.00
Cl6 0.206 0.961 0.249  0.00
Cl7 0.706 0.461 0.251  0.00
Cl8 0.294 0.539 0.749  0.00
Cl9 0.367 0.122 0.994  0.00
Cl10 0.633 0.878 0.006  0.00
Cl11 0.133 0.378 0.494  0.00
Cl12 0.622 0.867 0.506  0.00
Cl13 0.867 0.622 0.506  0.00
Cl14 0.378 0.133 0.494  0.00
Cl15 0.878 0.633 0.006  0.00
Cl16 0.122 0.367 0.994  0.00
Cl17 0.410 0.910 0.750  0.00
Cl18 0.590 0.090 0.250  0.00
Cl19 0.090 0.590 0.250  0.00
Cl20 0.910 0.410 0.750  0.00
Cl21 0.250 0.750 0.000  0.00
Cl22 0.750 0.250 0.000  0.00
Cl23 0.250 0.750 0.500  0.00
Cl24 0.750 0.250 0.500  0.00
Cl25 0.163 0.163 0.743  0.00
Cl26 0.837 0.837 0.257  0.00
Cl27 0.337 0.337 0.243  0.00
Cl28 0.663 0.663 0.757  0.00

Summary:
Crystal system = orthorhombic
Raw formation energy = -1866 meV/atom

=====

Mn3HgO: single point on PBEsol structure, SCAN.

a b c (Å): 4.937 4.937 4.937
angles (deg): 90.00 90.00 90.00
Each line ends with the local moment (μB).
Element x y z (fractional)
Mn1 0.000 0.500 0.000  4.41
Mn2 0.000 0.000 0.500  4.41
Mn3 0.500 0.000 0.000  4.41
Hg1 0.000 0.000 0.000  -0.09
O1 0.500 0.500 0.500  -0.59

Summary:
Crystal system = cubic
Raw formation energy = 915 meV/atom

=====

TcPbW2: single point on PBEsol structure, SCAN.

a b c (Å): 2.993 4.035 5.784
angles (deg): 90.00 90.00 90.00
Element x y z (fractional)
Pb1 0.000 0.000 0.504
Tc1 0.500 0.500 0.794
W1 0.000 0.000 0.999
W2 0.500 0.500 0.203

Summary:
Raw total energy = -247.65 eV/cell
Crystal system = orthorhombic

=====

ZrCdAs: single point on PBEsol structure, SCAN.

a b c (Å): 3.425 3.425 5.763
angles (deg): 107.29 107.29 90.00
Each line ends with the local moment (μB).
Element x y z (fractional)
As1 0.978 0.978 0.956  -0.05
Zr1 0.361 0.361 0.722  0.40
Cd1 0.661 0.661 0.322  0.04

Summary:
Raw total energy = -82.39 eV/cell
Crystal system = tetragonal